Entry 1:
First-principles (PBE) data for Nd4BeBr5 after structural relaxation, as listed in Alexandria via LeMat-Bulk.

The structure in POSCAR format:
```
Nd4BeBr5
1.0
9.372 -2.016 0.000
9.372 2.016 0.000
-2.019 0.000 8.550
Nd Be Br
4 1 5
direct
0.000 0.000 0.227
0.000 0.000 0.773
0.350 0.350 0.919
0.650 0.650 0.081
0.500 0.500 0.000
0.166 0.166 0.337
0.172 0.172 0.835
0.500 0.500 0.500
0.828 0.828 0.165
0.834 0.834 0.663
```

Properties
- SG = No. 12
- crystal system = monoclinic
- E_form (uncorrected) (eV per atom) = -1.289

Entry 2:
First-principles (PBE) data for Nd3BeBr3 after structural relaxation, as listed in Alexandria via LeMat-Bulk.

The structure in POSCAR format:
```
Nd3BeBr3
1.0
-5.943 5.943 5.943
5.943 -5.943 5.943
5.943 5.943 -5.943
Nd Be Br
12 4 12
direct
0.011 0.023 0.261
0.011 0.489 0.750
0.023 0.261 0.011
0.239 0.261 0.750
0.239 0.477 0.489
0.261 0.011 0.023
0.261 0.750 0.239
0.477 0.489 0.239
0.489 0.239 0.477
0.489 0.750 0.011
0.750 0.011 0.489
0.750 0.239 0.261
0.000 0.250 0.500
0.250 0.250 0.250
0.250 0.500 0.000
0.500 0.000 0.250
0.250 0.758 0.742
0.250 0.992 0.508
0.508 0.250 0.992
0.508 0.758 0.515
0.515 0.508 0.758
0.742 0.250 0.758
0.742 0.992 0.985
0.758 0.515 0.508
0.758 0.742 0.250
0.985 0.742 0.992
0.992 0.508 0.250
0.992 0.985 0.742
```

Properties
- SG = No. 214
- crystal system = cubic
- E_form (uncorrected) (eV per atom) = -1.083

Entry 3:
First-principles (PBE) data for BeNiBr2 after structural relaxation, as listed in Alexandria via LeMat-Bulk.

The structure in POSCAR format:
```
BeNiBr2
1.0
3.413 0.000 0.000
0.000 3.507 0.000
0.000 0.000 6.769
Be Ni Br
1 1 2
direct
0.000 0.000 0.000
0.500 0.000 0.500
0.000 0.500 0.500
0.500 0.500 0.000
```

Properties
- SG = No. 47
- crystal system = orthorhombic
- ΔE to the lowest computed polymorph (meV per atom) = 630
- E_form (uncorrected) (eV per atom) = 0.384

Entry 4:
First-principles (PBE) data for BeNiBr2 after structural relaxation, as listed in Alexandria via LeMat-Bulk.

The structure in POSCAR format:
```
BeNiBr2
1.0
3.355 -1.773 0.000
3.355 1.773 0.000
-0.528 0.000 7.211
Be Ni Br
1 1 2
direct
0.000 0.000 0.000
0.685 0.685 0.893
0.338 0.338 0.719
0.593 0.593 0.195
```

Properties
- SG = No. 8
- crystal system = monoclinic
- ΔE to the lowest computed polymorph (meV per atom) = 0
- E_form (uncorrected) (eV per atom) = -0.245